Record 1
A geometry-optimized Ce14SmPu structure. Source: Alexandria, functional PBE.

Structure (CIF):
```
data_Ce14SmPu
_chemical_formula_sum 'Ce28 Sm2 Pu2'
_cell_length_a 9.422
_cell_length_b 9.473
_cell_length_c 9.480
_cell_angle_alpha 90.00
_cell_angle_beta 90.00
_cell_angle_gamma 90.00
_symmetry_space_group_name_H-M 'A m m 2'
_symmetry_Int_Tables_number 38
loop_
_symmetry_equiv_pos_as_xyz
'x,y,z'
'-x,-y,z'
'-x,y,z'
'x,-y,z'
'x,y+1/2,z+1/2'
'-x,-y+1/2,z+1/2'
'-x,y+1/2,z+1/2'
'x,-y+1/2,z+1/2'
loop_
_atom_site_label
_atom_site_type_symbol
_atom_site_fract_x
_atom_site_fract_y
_atom_site_fract_z
Ce1 Ce 0.000 0.000 0.000
Ce2 Ce 0.000 0.000 0.499
Ce3 Ce 0.000 0.250 0.250
Ce4 Ce 0.247 0.000 0.252
Ce5 Ce 0.247 0.000 0.747
Ce6 Ce 0.247 0.248 0.500
Ce7 Ce 0.500 0.250 0.250
Sm1 Sm 0.500 0.000 0.999
Pu1 Pu 0.500 0.000 0.500
```

Calculated values
Uncorrected energy = -203.000 eV per cell
Formation enthalpy at 0 K = 0.04 eV per atom


Record 2
A geometry-optimized KTe2Rh structure. Source: Alexandria, functional PBE.

Structure (CIF):
```
data_KTe2Rh
_chemical_formula_sum 'K2 Te4 Rh2'
_cell_length_a 12.546
_cell_length_b 4.009
_cell_length_c 5.563
_cell_angle_alpha 90.00
_cell_angle_beta 113.75
_cell_angle_gamma 90.00
_symmetry_space_group_name_H-M 'C 1 m 1'
_symmetry_Int_Tables_number 8
loop_
_symmetry_equiv_pos_as_xyz
'x,y,z'
'x,-y,z'
'x+1/2,y+1/2,z'
'x+1/2,-y+1/2,z'
loop_
_atom_site_label
_atom_site_type_symbol
_atom_site_fract_x
_atom_site_fract_y
_atom_site_fract_z
K1 K 0.000 0.000 0.000
Te1 Te 0.195 0.000 0.678
Te2 Te 0.328 0.000 0.261
Rh1 Rh 0.258 0.500 0.462
```

Calculated values
Uncorrected energy = -33.045 eV per cell
E_form (uncorrected) = -0.447 eV per atom


Record 3
A geometry-optimized H2SeS structure. Source: Alexandria, functional PBE.

Structure (CIF):
```
data_H2SeS
_chemical_formula_sum 'H4 Se2 S2'
_cell_length_a 2.663
_cell_length_b 7.484
_cell_length_c 7.897
_cell_angle_alpha 111.04
_cell_angle_beta 96.97
_cell_angle_gamma 97.86
_symmetry_space_group_name_H-M 'P 1'
_symmetry_Int_Tables_number 1
loop_
_symmetry_equiv_pos_as_xyz
'x,y,z'
loop_
_atom_site_label
_atom_site_type_symbol
_atom_site_fract_x
_atom_site_fract_y
_atom_site_fract_z
H1 H 0.000 0.000 0.000
H2 H 0.181 0.269 0.214
H3 H 0.409 0.674 0.356
H4 H 0.817 0.563 0.897
Se1 Se 0.710 0.510 0.692
Se2 Se 0.870 0.911 0.719
S1 S 0.099 0.073 0.205
S2 S 0.285 0.535 0.182
```

Calculated values
Uncorrected energy = -27.854 eV per cell


Record 4
A geometry-optimized Zr3CrB structure. Source: Alexandria, functional PBE.

Structure (CIF):
```
data_Zr3CrB
_chemical_formula_sum 'Zr3 Cr1 B1'
_cell_length_a 4.573
_cell_length_b 4.573
_cell_length_c 4.573
_cell_angle_alpha 90.00
_cell_angle_beta 90.00
_cell_angle_gamma 90.00
_symmetry_space_group_name_H-M 'P m -3 m'
_symmetry_Int_Tables_number 221
_symmetry_space_group_name_Hall '-P 4 2 3'
loop_
_atom_site_label
_atom_site_type_symbol
_atom_site_fract_x
_atom_site_fract_y
_atom_site_fract_z
Zr1 Zr 0.000 0.000 0.500
Cr1 Cr 0.500 0.500 0.500
B1 B 0.000 0.000 0.000
```

Calculated values
Uncorrected energy = -40.365 eV per cell
Formation enthalpy at 0 K = 0.32 eV per atom


Record 5
A geometry-optimized DySc12In3 structure. Source: Alexandria, functional PBE.

Structure (CIF):
```
data_DySc12In3
_chemical_formula_sum 'Dy1 Sc12 In3'
_cell_length_a 4.544
_cell_length_b 4.544
_cell_length_c 18.495
_cell_angle_alpha 90.00
_cell_angle_beta 90.00
_cell_angle_gamma 90.00
_symmetry_space_group_name_H-M 'P 4/m m m'
_symmetry_Int_Tables_number 123
_symmetry_space_group_name_Hall '-P 4 2'
loop_
_atom_site_label
_atom_site_type_symbol
_atom_site_fract_x
_atom_site_fract_y
_atom_site_fract_z
Dy1 Dy 0.000 0.000 0.000
Sc1 Sc 0.000 0.500 0.133
Sc2 Sc 0.000 0.500 0.378
Sc3 Sc 0.500 0.500 0.000
Sc4 Sc 0.500 0.500 0.257
Sc5 Sc 0.500 0.500 0.500
In1 In 0.000 0.000 0.256
In2 In 0.000 0.000 0.500
```

Calculated values
Uncorrected energy = -91.828 eV per cell
Formation enthalpy at 0 K = -0.19 eV per atom


Record 6
A geometry-optimized YTc2Os structure. Source: Alexandria, functional PBE.

Structure (CIF):
```
data_YTc2Os
_chemical_formula_sum 'Y3 Tc6 Os3'
_cell_length_a 2.8705
_cell_length_b 2.8705
_cell_length_c 28.5727
_cell_angle_alpha 90.00
_cell_angle_beta 90.00
_cell_angle_gamma 120.00
_symmetry_space_group_name_H-M 'R -3 m'
_symmetry_Int_Tables_number 166
_symmetry_space_group_name_Hall '-R 3 2"'
loop_
_atom_site_label
_atom_site_type_symbol
_atom_site_fract_x
_atom_site_fract_y
_atom_site_fract_z
Y1 Y 0.0000 0.0000 0.0000
Tc1 Tc 0.0000 0.0000 0.2403
Os1 Os 0.0000 0.0000 0.5000
```

Calculated values
Uncorrected energy = -109.431 eV per cell
Formation enthalpy at 0 K = 0.49 eV per atom


Record 7
A geometry-optimized Er6TeC4 structure. Source: Alexandria, functional PBE.

Structure (CIF):
```
data_Er6TeC4
_chemical_formula_sum 'Er24 Te4 C16'
_cell_length_a 3.676
_cell_length_b 12.105
_cell_length_c 18.910
_cell_angle_alpha 90.00
_cell_angle_beta 90.00
_cell_angle_gamma 90.00
_symmetry_space_group_name_H-M 'C m c m'
_symmetry_Int_Tables_number 63
_symmetry_space_group_name_Hall '-C 2c 2'
loop_
_atom_site_label
_atom_site_type_symbol
_atom_site_fract_x
_atom_site_fract_y
_atom_site_fract_z
Er1 Er 0.000 0.000 0.000
Er2 Er 0.000 0.146 0.250
Er3 Er 0.000 0.276 0.576
Er4 Er 0.000 0.466 0.145
Te1 Te 0.000 0.160 0.750
C1 C 0.000 0.091 0.127
C2 C 0.000 0.363 0.042
```

Calculated values
Uncorrected energy = -291.536 eV per cell
E_form (uncorrected) = -0.497 eV per atom


Record 8
A geometry-optimized LaCuO3 structure. Source: Alexandria, functional PBE.

Structure (CIF):
```
data_LaCuO3
_chemical_formula_sum 'La4 Cu4 O12'
_cell_length_a 4.005
_cell_length_b 4.005
_cell_length_c 17.760
_cell_angle_alpha 90.00
_cell_angle_beta 90.00
_cell_angle_gamma 90.00
_symmetry_space_group_name_H-M 'I -4 m 2'
_symmetry_Int_Tables_number 119
_symmetry_space_group_name_Hall 'I -4 -2'
loop_
_atom_site_label
_atom_site_type_symbol
_atom_site_fract_x
_atom_site_fract_y
_atom_site_fract_z
La1 La 0.000 0.000 0.101
Cu1 Cu 0.000 0.000 0.500
Cu2 Cu 0.000 0.500 0.250
O1 O 0.000 0.236 0.343
O2 O 0.000 0.500 0.514
```

Calculated values
Uncorrected energy = -128.120 eV per cell
E_form (uncorrected) = -1.626 eV per atom


Record 9
A geometry-optimized YbGdZn2 structure. Source: Alexandria, functional PBE.

Structure (CIF):
```
data_YbGdZn2
_chemical_formula_sum 'Yb4 Gd4 Zn8'
_cell_length_a 7.192
_cell_length_b 7.192
_cell_length_c 7.192
_cell_angle_alpha 90.00
_cell_angle_beta 90.00
_cell_angle_gamma 90.00
_symmetry_space_group_name_H-M 'F m -3 m'
_symmetry_Int_Tables_number 225
_symmetry_space_group_name_Hall '-F 4 2 3'
loop_
_atom_site_label
_atom_site_type_symbol
_atom_site_fract_x
_atom_site_fract_y
_atom_site_fract_z
Yb1 Yb 0.000 0.000 0.000
Gd1 Gd 0.000 0.000 0.500
Zn1 Zn 0.250 0.250 0.250
```

Calculated values
Uncorrected energy = -78.088 eV per cell
Formation enthalpy at 0 K = -0.34 eV per atom


Record 10
A geometry-optimized Pb2C structure. Source: Alexandria, functional PBE.

Structure (CIF):
```
data_Pb2C
_chemical_formula_sum 'Pb8 C4'
_cell_length_a 12.078
_cell_length_b 3.585
_cell_length_c 8.685
_cell_angle_alpha 90.00
_cell_angle_beta 127.34
_cell_angle_gamma 90.00
_symmetry_space_group_name_H-M 'C 1 2/m 1'
_symmetry_Int_Tables_number 12
loop_
_symmetry_equiv_pos_as_xyz
'x,y,z'
'-x,-y,-z'
'-x,y,-z'
'x,-y,z'
'x+1/2,y+1/2,z'
'-x+1/2,-y+1/2,-z'
'-x+1/2,y+1/2,-z'
'x+1/2,-y+1/2,z'
loop_
_atom_site_label
_atom_site_type_symbol
_atom_site_fract_x
_atom_site_fract_y
_atom_site_fract_z
Pb1 Pb 0.053 0.000 0.350
Pb2 Pb 0.197 0.000 0.121
C1 C 0.099 0.500 0.865
```

Calculated values
Uncorrected energy = -53.274 eV per cell
Formation enthalpy at 0 K = 1.11 eV per atom


Record 11
A geometry-optimized Ba2BiP3Pd12 structure. Source: Alexandria, functional PBE.

Structure (CIF):
```
data_Ba2BiP3Pd12
_chemical_formula_sum 'Ba6 Bi3 P9 Pd36'
_cell_length_a 8.5458
_cell_length_b 8.5458
_cell_length_c 18.8444
_cell_angle_alpha 90.00
_cell_angle_beta 90.00
_cell_angle_gamma 120.00
_symmetry_space_group_name_H-M 'R -3 m'
_symmetry_Int_Tables_number 166
_symmetry_space_group_name_Hall '-R 3 2"'
loop_
_atom_site_label
_atom_site_type_symbol
_atom_site_fract_x
_atom_site_fract_y
_atom_site_fract_z
Ba1 Ba 0.0000 0.0000 0.1036
Bi1 Bi 0.0000 0.0000 0.5000
P1 P 0.0000 0.5000 0.0000
Pd1 Pd 0.0062 0.5031 0.8802
Pd2 Pd 0.0622 0.5311 0.3401
```

Calculated values
Uncorrected energy = -275.236 eV per cell
Formation enthalpy at 0 K = -0.30 eV per atom


Record 12
A geometry-optimized RbLa2Be structure. Source: Alexandria, functional PBE.

Structure (CIF):
```
data_RbLa2Be
_chemical_formula_sum 'Rb4 La8 Be4'
_cell_length_a 8.913
_cell_length_b 8.913
_cell_length_c 7.193
_cell_angle_alpha 90.00
_cell_angle_beta 90.00
_cell_angle_gamma 90.00
_symmetry_space_group_name_H-M 'I -4 2 d'
_symmetry_Int_Tables_number 122
_symmetry_space_group_name_Hall 'I -4 2bw'
loop_
_atom_site_label
_atom_site_type_symbol
_atom_site_fract_x
_atom_site_fract_y
_atom_site_fract_z
Rb1 Rb 0.000 0.000 0.000
La1 La 0.183 0.250 0.625
Be1 Be 0.000 0.000 0.500
```

Calculated values
Uncorrected energy = -46.905 eV per cell
Formation enthalpy at 0 K = 0.71 eV per atom